No. 1
! CeEr2Th12 | Alexandria | PBE-GGA | optimized geometry; values from VASP
! energy relative to the elements: 0.496 eV per atom
! theoretical density: 10394 kg/m3
! D(E_F): 26.8 states/eV/f.u.
&SYSTEM
  ibrav = 0, nat = 30, ntyp = 3
/
ATOMIC_SPECIES
Ce 140.12 Ce.upf
Er 167.26 Er.upf
Th 232.04 Th.upf
ATOMIC_POSITIONS angstrom
Ce 1.6656 4.9968 0.0000
Ce 4.9968 1.6656 0.0000
Er 1.6656 4.9968 6.3710
Er 1.6656 4.9968 17.0890
Er 4.9968 1.6656 6.3710
Er 4.9968 1.6656 17.0890
Th 0.0079 3.3391 2.3297
Th 0.0079 6.6545 21.1303
Th 0.4737 3.8048 13.2806
Th 0.4737 6.1887 10.1795
Th 1.6656 1.6656 4.7285
Th 1.6656 1.6656 7.8730
Th 1.6656 1.6656 15.5870
Th 1.6656 1.6656 18.7316
Th 2.8575 3.8048 10.1795
Th 2.8575 6.1887 13.2806
Th 3.3233 3.3391 21.1303
Th 3.3233 6.6545 2.3297
Th 3.3391 0.0079 21.1303
Th 3.3391 3.3233 2.3297
Th 3.8048 0.4737 10.1795
Th 3.8048 2.8575 13.2806
Th 4.9968 4.9968 4.7285
Th 4.9968 4.9968 7.8730
Th 4.9968 4.9968 15.5870
Th 4.9968 4.9968 18.7316
Th 6.1887 0.4737 13.2806
Th 6.1887 2.8575 10.1795
Th 6.6545 0.0079 2.3297
Th 6.6545 3.3233 21.1303
CELL_PARAMETERS angstrom
6.6624 0.0000 0.0000
0.0000 6.6624 0.0000
0.0000 0.0000 23.4600

---

No. 2
! CeErTh6 | Alexandria | PBE-GGA | optimized geometry; values from VASP
! energy relative to the elements: 0.035 eV per atom
! theoretical density: 11222 kg/m3
! D(E_F): 14.4 states/eV/f.u.
&SYSTEM
  ibrav = 0, nat = 8, ntyp = 3
/
ATOMIC_SPECIES
Ce 140.12 Ce.upf
Er 167.26 Er.upf
Th 232.04 Th.upf
ATOMIC_POSITIONS angstrom
Ce 0.0000 0.0000 0.0000
Er 0.0000 0.0000 5.0172
Th 0.0000 2.5031 2.4780
Th 0.0000 2.5031 7.5563
Th 2.5031 0.0000 2.4780
Th 2.5031 0.0000 7.5563
Th 2.5031 2.5031 0.0000
Th 2.5031 2.5031 5.0172
CELL_PARAMETERS angstrom
5.0063 0.0000 0.0000
0.0000 5.0063 0.0000
0.0000 0.0000 10.0343

---

No. 3
! CeEr5Th4 | Alexandria | PBE-GGA | optimized geometry; values from VASP
! energy relative to the elements: 0.277 eV per atom
! theoretical density: 9488 kg/m3
! D(E_F): 16.3 states/eV/f.u.
&SYSTEM
  ibrav = 0, nat = 10, ntyp = 3
/
ATOMIC_SPECIES
Ce 140.12 Ce.upf
Er 167.26 Er.upf
Th 232.04 Th.upf
ATOMIC_POSITIONS angstrom
Ce 0.0000 0.0000 0.0000
Er 0.0074 1.1573 5.3902
Er 1.7299 3.0798 0.6825
Er 1.7452 4.1020 5.2690
Er 3.4679 7.0945 5.5113
Er 3.4832 8.1167 10.0978
Th 1.7264 6.2104 2.4707
Th 1.7475 1.9693 8.0213
Th 3.4656 9.2272 2.7591
Th 3.4867 4.9862 8.3097
CELL_PARAMETERS angstrom
3.4812 0.0000 0.0000
1.7170 8.8820 0.0000
0.0149 2.3146 10.7803

---

No. 4
! Ce2Er2Th | Alexandria | PBE-GGA | optimized geometry; values from VASP
! energy relative to the elements: 0.072 eV per atom
! theoretical density: 9356 kg/m3
! D(E_F): 12.1 states/eV/f.u.
&SYSTEM
  ibrav = 0, nat = 10, ntyp = 3
/
ATOMIC_SPECIES
Ce 140.12 Ce.upf
Er 167.26 Er.upf
Th 232.04 Th.upf
ATOMIC_POSITIONS angstrom
Ce -0.4846 0.0000 2.9991
Ce 1.9278 1.7466 4.4677
Ce 5.2773 1.7466 2.9991
Ce 7.6897 0.0000 4.4677
Er -1.1860 1.7466 5.9573
Er 2.6291 0.0000 1.5096
Er 4.5760 0.0000 5.9573
Er 8.3911 1.7466 1.5096
Th 0.0000 1.7466 0.0000
Th 5.7619 0.0000 0.0000
CELL_PARAMETERS angstrom
11.5239 0.0000 0.0000
0.0000 3.4931 0.0000
-4.3187 0.0000 7.4669

---

No. 5
! CeErTh | Alexandria | PBE-GGA | optimized geometry; values from VASP
! energy relative to the elements: 0.055 eV per atom
! theoretical density: 9766 kg/m3
! D(E_F): 5.5 states/eV/f.u.
&SYSTEM
  ibrav = 0, nat = 6, ntyp = 3
/
ATOMIC_SPECIES
Ce 140.12 Ce.upf
Er 167.26 Er.upf
Th 232.04 Th.upf
ATOMIC_POSITIONS angstrom
Ce 0.0000 0.0000 0.0000
Ce 1.7645 1.7645 7.3647
Er 0.0000 0.0000 4.8278
Er 1.7645 1.7645 12.1925
Th 0.0000 0.0000 9.7221
Th 1.7645 1.7645 2.3574
CELL_PARAMETERS angstrom
3.5289 0.0000 0.0000
0.0000 3.5289 0.0000
0.0000 0.0000 14.7294

---

No. 6
! CeEr8Th4 | Alexandria | PBE-GGA | optimized geometry; values from VASP
! energy relative to the elements: 0.200 eV per atom
! theoretical density: 9872 kg/m3
! D(E_F): 21.2 states/eV/f.u.
&SYSTEM
  ibrav = 0, nat = 13, ntyp = 3
/
ATOMIC_SPECIES
Ce 140.12 Ce.upf
Er 167.26 Er.upf
Th 232.04 Th.upf
ATOMIC_POSITIONS angstrom
Ce 0.0000 0.0000 0.0000
Er 0.0000 -1.8812 10.4371
Er -1.6292 0.9406 10.4371
Er 0.0000 0.0000 7.3608
Er -1.6292 -0.9406 15.9695
Er 1.6292 0.9406 10.4371
Er 0.0000 0.0000 19.0458
Er 1.6292 -0.9406 15.9695
Er 0.0000 1.8812 15.9695
Th -3.6434 0.0000 13.2033
Th -1.8217 1.0518 4.4011
Th 1.8217 1.0518 4.4011
Th 0.0000 0.0000 13.2033
CELL_PARAMETERS angstrom
3.6434 2.1035 8.8022
-3.6434 2.1035 8.8022
0.0000 -4.2071 8.8022